No. 1
{"formula": "Tm2HfTl3Te6", "functional": "GGA-PBE", "state": "relaxed", "lattice_angstrom": [[7.446, 0.002, 0.001], [-3.720, 6.451, 0.001], [-1.242, -2.150, 8.265]], "species": ["Te", "Te", "Te", "Tl", "Tm", "Tl", "Te", "Tl", "Te", "Tm", "Te", "Hf"], "fractional_positions": [[0.610, 0.931, 0.793], [0.069, 0.390, 0.207], [0.390, 0.069, 0.207], [0.828, 0.172, 0.500], [0.666, 0.334, 0.000], [0.172, 0.828, 0.500], [0.931, 0.610, 0.793], [0.500, 0.500, 0.500], [0.750, 0.750, 0.211], [0.334, 0.666, 0.000], [0.250, 0.250, 0.789], [0.000, 0.000, 0.000]], "formation_energy_uncorrected_ev_per_atom": -0.85, "space_group": "C2/m", "final_energy_ev_per_fu": -55.01}

No. 2
{"formula": "NaMn2FeTe", "functional": "GGA-PBE", "state": "relaxed", "lattice_angstrom": [[-3.968, -1.614, 2.094], [2.149, -3.897, 1.068], [1.407, 1.909, 4.137]], "species": ["Mn", "Te", "Mn", "Fe", "Na"], "fractional_positions": [[0.500, 0.000, 0.000], [0.500, 0.500, 0.500], [0.000, 0.000, 0.500], [0.000, 0.500, 0.000], [0.000, 0.000, 0.000]], "formation_energy_uncorrected_ev_per_atom": 1.47, "space_group": "P4/mmm", "final_energy_ev_per_fu": -23.90}

No. 3
{"formula": "Ca2YSe", "functional": "GGA-PBE", "state": "relaxed", "lattice_angstrom": [[3.906, 0.000, 0.000], [0.000, 6.609, -0.145], [0.000, 4.163, 5.147]], "species": ["Y", "Ca", "Ca", "Se"], "fractional_positions": [[0.500, 0.750, 0.750], [0.000, 0.425, 0.426], [0.000, 0.075, 0.074], [0.500, 0.250, 0.250]], "de_polymorph_ev_per_fu": 0.57, "formation_energy_uncorrected_ev_per_atom": -0.70, "space_group": "P2/m", "final_energy_ev_per_fu": -16.77}

No. 4
{"formula": "Nd6TmSc", "functional": "GGA-PBE", "state": "relaxed", "lattice_angstrom": [[-4.362, -0.427, -2.593], [1.405, -4.626, -1.601], [-4.445, -4.177, 8.164]], "species": ["Sc", "Nd", "Nd", "Tm", "Nd", "Nd", "Nd", "Nd"], "fractional_positions": [[0.000, 0.000, 0.500], [0.500, 0.500, 0.000], [0.500, 0.000, 0.746], [0.000, 0.000, 0.000], [0.500, 0.500, 0.500], [0.500, 0.000, 0.254], [0.000, 0.500, 0.254], [0.000, 0.500, 0.746]], "space_group": "P4/mmm", "final_energy_ev_per_fu": -39.20, "ef_ev_per_fu": 0.212}

No. 5
{"formula": "PmCdNiSb", "functional": "GGA-PBE", "state": "relaxed", "lattice_angstrom": [[-0.653, -0.816, -4.884], [-3.363, -3.355, -1.544], [-4.193, 1.520, -2.247]], "species": ["Cd", "Pm", "Sb", "Ni"], "fractional_positions": [[0.750, 0.750, 0.750], [0.500, 0.500, 0.500], [0.000, 0.000, 0.000], [0.250, 0.250, 0.250]], "formation_energy_uncorrected_ev_per_atom": -0.19, "space_group": "F-43m", "final_energy_ev_per_fu": -16.33}

No. 6
{"formula": "Pu5Hg2Ru2", "functional": "GGA-PBE", "state": "relaxed", "lattice_angstrom": [[7.537, 0.000, 0.000], [0.000, 6.680, -3.434], [0.000, 0.323, 8.844]], "species": ["Pu", "Ru", "Pu", "Hg", "Pu", "Pu", "Pu", "Hg", "Pu", "Pu", "Ru", "Ru", "Ru", "Pu", "Hg", "Pu", "Pu", "Hg"], "fractional_positions": [[0.841, 0.543, 0.769], [0.856, 0.355, 0.000], [0.659, 0.043, 0.769], [0.500, 0.286, 0.572], [0.159, 0.457, 0.231], [0.659, 0.274, 0.231], [0.341, 0.957, 0.231], [0.500, 0.714, 0.428], [0.341, 0.726, 0.769], [0.841, 0.774, 0.231], [0.644, 0.855, 0.000], [0.356, 0.145, 0.000], [0.144, 0.645, 0.000], [0.159, 0.226, 0.769], [0.000, 0.786, 0.572], [0.000, 0.000, 0.000], [0.500, 0.500, 0.000], [0.000, 0.214, 0.428]], "space_group": "Cmce", "final_energy_ev_per_fu": -91.61, "ef_ev_per_fu": -0.800}

no.,N(E_F) (states/eV per cell)
1,4.5
2,5.2
3,5.4
4,11.5
5,2.3
6,72.6